No. 1
# SbTeSe2, optimized geometry, DFT PBE
# * uncorrected energy: -52.881 eV per cell
# * energy relative to the elements, uncorrected: 24.4 kJ/mol of atoms
# * ΔE to the lowest computed polymorph: 311.9 meV per atom
data_SbTeSe2
_chemical_formula_sum 'Sb4 Te4 Se8'
_symmetry_space_group_name_H-M 'F m -3 m'
_symmetry_Int_Tables_number 225
_symmetry_space_group_name_Hall '-F 4 2 3'
_cell_length_a 7.271
_cell_length_b 7.271
_cell_length_c 7.271
_cell_angle_alpha 90.00
_cell_angle_beta 90.00
_cell_angle_gamma 90.00
loop_
_atom_site_label
_atom_site_type_symbol
_atom_site_fract_x
_atom_site_fract_y
_atom_site_fract_z
Sb1 Sb 0.000 0.000 0.000
Te1 Te 0.000 0.000 0.500
Se1 Se 0.250 0.250 0.250


No. 2
# SbTeSe2, optimized geometry, DFT PBE
# * uncorrected energy: -28.202 eV per cell
# * energy relative to the elements, uncorrected: 3.2 kJ/mol of atoms
# * ΔE to the lowest computed polymorph: 91.7 meV per atom
data_SbTeSe2
_chemical_formula_sum 'Sb2 Te2 Se4'
_symmetry_space_group_name_H-M 'C 1 2/m 1'
_symmetry_Int_Tables_number 12
_symmetry_space_group_name_Hall '-C 2y'
_cell_length_a 6.080
_cell_length_b 8.501
_cell_length_c 5.185
_cell_angle_alpha 90.00
_cell_angle_beta 125.70
_cell_angle_gamma 90.00
loop_
_atom_site_label
_atom_site_type_symbol
_atom_site_fract_x
_atom_site_fract_y
_atom_site_fract_z
Sb1 Sb 0.000 0.000 0.000
Te1 Te 0.000 0.500 0.000
Se1 Se 0.250 0.250 0.500


No. 3
# SbTe2Se, optimized geometry, DFT PBE
# * uncorrected energy: -52.619 eV per cell
# * energy relative to the elements, uncorrected: 17.7 kJ/mol of atoms
# * ΔE to the lowest computed polymorph: 166.5 meV per atom
data_SbTe2Se
_chemical_formula_sum 'Sb4 Te8 Se4'
_symmetry_space_group_name_H-M 'I -4 2 d'
_symmetry_Int_Tables_number 122
_symmetry_space_group_name_Hall 'I -4 2bw'
_cell_length_a 7.811
_cell_length_b 7.811
_cell_length_c 8.644
_cell_angle_alpha 90.00
_cell_angle_beta 90.00
_cell_angle_gamma 90.00
loop_
_atom_site_label
_atom_site_type_symbol
_atom_site_fract_x
_atom_site_fract_y
_atom_site_fract_z
Sb1 Sb 0.000 0.000 0.000
Te1 Te 0.243 0.250 0.625
Se1 Se 0.000 0.000 0.500


No. 4
# Sb3TeSe, optimized geometry, DFT PBE
# * uncorrected energy: -15.772 eV per cell
# * energy relative to the elements, uncorrected: 62.2 kJ/mol of atoms
# * ΔE to the lowest computed polymorph: 0.0 meV per atom
data_Sb3TeSe
_chemical_formula_sum 'Sb3 Te1 Se1'
_symmetry_space_group_name_H-M 'P m -3 m'
_symmetry_Int_Tables_number 221
_symmetry_space_group_name_Hall '-P 4 2 3'
_cell_length_a 5.422
_cell_length_b 5.422
_cell_length_c 5.422
_cell_angle_alpha 90.00
_cell_angle_beta 90.00
_cell_angle_gamma 90.00
loop_
_atom_site_label
_atom_site_type_symbol
_atom_site_fract_x
_atom_site_fract_y
_atom_site_fract_z
Sb1 Sb 0.000 0.000 0.500
Te1 Te 0.500 0.500 0.500
Se1 Se 0.000 0.000 0.000


No. 5
# SbTeSe2, optimized geometry, DFT PBE
# * uncorrected energy: -54.997 eV per cell
# * energy relative to the elements, uncorrected: 11.7 kJ/mol of atoms
# * ΔE to the lowest computed polymorph: 179.6 meV per atom
data_SbTeSe2
_chemical_formula_sum 'Sb4 Te4 Se8'
_symmetry_space_group_name_H-M 'I -4 2 d'
_symmetry_Int_Tables_number 122
_symmetry_space_group_name_Hall 'I -4 2bw'
_cell_length_a 7.827
_cell_length_b 7.827
_cell_length_c 7.179
_cell_angle_alpha 90.00
_cell_angle_beta 90.00
_cell_angle_gamma 90.00
loop_
_atom_site_label
_atom_site_type_symbol
_atom_site_fract_x
_atom_site_fract_y
_atom_site_fract_z
Sb1 Sb 0.000 0.000 0.000
Te1 Te 0.000 0.000 0.500
Se1 Se 0.242 0.250 0.125


No. 6
# SbTe2Se, optimized geometry, DFT PBE
# * uncorrected energy: -25.886 eV per cell
# * energy relative to the elements, uncorrected: 22.9 kJ/mol of atoms
# * ΔE to the lowest computed polymorph: 219.4 meV per atom
data_SbTe2Se
_chemical_formula_sum 'Sb2 Te4 Se2'
_symmetry_space_group_name_H-M 'C m m 2'
_symmetry_Int_Tables_number 35
_symmetry_space_group_name_Hall 'C 2 -2'
_cell_length_a 3.832
_cell_length_b 6.578
_cell_length_c 9.154
_cell_angle_alpha 90.00
_cell_angle_beta 90.00
_cell_angle_gamma 90.00
loop_
_atom_site_label
_atom_site_type_symbol
_atom_site_fract_x
_atom_site_fract_y
_atom_site_fract_z
Sb1 Sb 0.000 0.000 0.000
Te1 Te 0.000 0.000 0.531
Te2 Te 0.000 0.500 0.280
Se1 Se 0.000 0.500 0.780


No. 7
# SbTeSe3, optimized geometry, DFT PBE
# * uncorrected energy: -15.029 eV per cell
# * energy relative to the elements, uncorrected: 51.9 kJ/mol of atoms
# * ΔE to the lowest computed polymorph: 600.7 meV per atom
data_SbTeSe3
_chemical_formula_sum 'Sb1 Te1 Se3'
_symmetry_space_group_name_H-M 'P m -3 m'
_symmetry_Int_Tables_number 221
_symmetry_space_group_name_Hall '-P 4 2 3'
_cell_length_a 5.298
_cell_length_b 5.298
_cell_length_c 5.298
_cell_angle_alpha 90.00
_cell_angle_beta 90.00
_cell_angle_gamma 90.00
loop_
_atom_site_label
_atom_site_type_symbol
_atom_site_fract_x
_atom_site_fract_y
_atom_site_fract_z
Sb1 Sb 0.000 0.000 0.000
Te1 Te 0.500 0.500 0.500
Se1 Se 0.000 0.000 0.500


No. 8
# SbTe2Se2, optimized geometry, DFT PBE
# * uncorrected energy: -31.914 eV per cell
# * energy relative to the elements, uncorrected: 27.4 kJ/mol of atoms
# * ΔE to the lowest computed polymorph: 310.7 meV per atom
data_SbTe2Se2
_chemical_formula_sum 'Sb2 Te4 Se4'
_symmetry_space_group_name_H-M 'P 4/m b m'
_symmetry_Int_Tables_number 127
_symmetry_space_group_name_Hall '-P 4 2ab'
_cell_length_a 8.174
_cell_length_b 8.174
_cell_length_c 4.003
_cell_angle_alpha 90.00
_cell_angle_beta 90.00
_cell_angle_gamma 90.00
loop_
_atom_site_label
_atom_site_type_symbol
_atom_site_fract_x
_atom_site_fract_y
_atom_site_fract_z
Sb1 Sb 0.000 0.000 0.000
Te1 Te 0.142 0.358 0.500
Se1 Se 0.176 0.676 0.000


No. 9
# SbTe2Se, optimized geometry, DFT PBE
# * uncorrected energy: -50.904 eV per cell
# * energy relative to the elements, uncorrected: 28.1 kJ/mol of atoms
# * ΔE to the lowest computed polymorph: 273.7 meV per atom
data_SbTe2Se
_chemical_formula_sum 'Sb4 Te8 Se4'
_symmetry_space_group_name_H-M 'F m -3 m'
_symmetry_Int_Tables_number 225
_symmetry_space_group_name_Hall '-F 4 2 3'
_cell_length_a 7.485
_cell_length_b 7.485
_cell_length_c 7.485
_cell_angle_alpha 90.00
_cell_angle_beta 90.00
_cell_angle_gamma 90.00
loop_
_atom_site_label
_atom_site_type_symbol
_atom_site_fract_x
_atom_site_fract_y
_atom_site_fract_z
Sb1 Sb 0.000 0.000 0.000
Te1 Te 0.250 0.250 0.250
Se1 Se 0.000 0.000 0.500


No. 10
# SbTeSe2, optimized geometry, DFT PBE
# * uncorrected energy: -42.209 eV per cell
# * energy relative to the elements, uncorrected: 3.9 kJ/mol of atoms
# * ΔE to the lowest computed polymorph: 99.5 meV per atom
data_SbTeSe2
_chemical_formula_sum 'Sb3 Te3 Se6'
_symmetry_space_group_name_H-M 'R 3 m'
_symmetry_Int_Tables_number 160
_symmetry_space_group_name_Hall 'R 3 -2"'
_cell_length_a 4.3010
_cell_length_b 4.3010
_cell_length_c 20.2207
_cell_angle_alpha 90.00
_cell_angle_beta 90.00
_cell_angle_gamma 120.00
loop_
_atom_site_label
_atom_site_type_symbol
_atom_site_fract_x
_atom_site_fract_y
_atom_site_fract_z
Sb1 Sb 0.0000 0.0000 0.0000
Te1 Te 0.0000 0.0000 0.2439
Se1 Se 0.0000 0.0000 0.4909
Se2 Se 0.0000 0.0000 0.7447


No. 11
# SbTe2Se, optimized geometry, DFT PBE
# * uncorrected energy: -26.919 eV per cell
# * energy relative to the elements, uncorrected: 10.4 kJ/mol of atoms
# * ΔE to the lowest computed polymorph: 90.2 meV per atom
data_SbTe2Se
_chemical_formula_sum 'Sb2 Te4 Se2'
_symmetry_space_group_name_H-M 'I m m m'
_symmetry_Int_Tables_number 71
_symmetry_space_group_name_Hall '-I 2 2'
_cell_length_a 3.899
_cell_length_b 4.334
_cell_length_c 13.634
_cell_angle_alpha 90.00
_cell_angle_beta 90.00
_cell_angle_gamma 90.00
loop_
_atom_site_label
_atom_site_type_symbol
_atom_site_fract_x
_atom_site_fract_y
_atom_site_fract_z
Sb1 Sb 0.000 0.000 0.000
Te1 Te 0.000 0.500 0.291
Se1 Se 0.000 0.000 0.500


No. 12
# SbTeSe2, optimized geometry, DFT PBE
# * uncorrected energy: -40.176 eV per cell
# * energy relative to the elements, uncorrected: 20.3 kJ/mol of atoms
# * ΔE to the lowest computed polymorph: 268.9 meV per atom
data_SbTeSe2
_chemical_formula_sum 'Sb3 Te3 Se6'
_symmetry_space_group_name_H-M 'R -3 m'
_symmetry_Int_Tables_number 166
_symmetry_space_group_name_Hall '-R 3 2"'
_cell_length_a 3.7538
_cell_length_b 3.7538
_cell_length_c 28.4632
_cell_angle_alpha 90.00
_cell_angle_beta 90.00
_cell_angle_gamma 120.00
loop_
_atom_site_label
_atom_site_type_symbol
_atom_site_fract_x
_atom_site_fract_y
_atom_site_fract_z
Sb1 Sb 0.0000 0.0000 0.0000
Te1 Te 0.0000 0.0000 0.5000
Se1 Se 0.0000 0.0000 0.0986


No. 13
# SbTe2Se, optimized geometry, DFT PBE
# * uncorrected energy: -27.583 eV per cell
# * energy relative to the elements, uncorrected: 2.4 kJ/mol of atoms
# * ΔE to the lowest computed polymorph: 7.2 meV per atom
data_SbTe2Se
_chemical_formula_sum 'Sb2 Te4 Se2'
_symmetry_space_group_name_H-M 'C m m m'
_symmetry_Int_Tables_number 65
_symmetry_space_group_name_Hall '-C 2 2'
_cell_length_a 6.119
_cell_length_b 8.779
_cell_length_c 4.425
_cell_angle_alpha 90.00
_cell_angle_beta 90.00
_cell_angle_gamma 90.00
loop_
_atom_site_label
_atom_site_type_symbol
_atom_site_fract_x
_atom_site_fract_y
_atom_site_fract_z
Sb1 Sb 0.000 0.000 0.000
Te1 Te 0.000 0.247 0.500
Se1 Se 0.000 0.500 0.000


No. 14
# SbTe2Se, optimized geometry, DFT PBE
# * uncorrected energy: -41.368 eV per cell
# * energy relative to the elements, uncorrected: 2.4 kJ/mol of atoms
# * ΔE to the lowest computed polymorph: 7.8 meV per atom
data_SbTe2Se
_chemical_formula_sum 'Sb3 Te6 Se3'
_symmetry_space_group_name_H-M 'R -3 m'
_symmetry_Int_Tables_number 166
_symmetry_space_group_name_Hall '-R 3 2"'
_cell_length_a 4.3994
_cell_length_b 4.3994
_cell_length_c 21.1096
_cell_angle_alpha 90.00
_cell_angle_beta 90.00
_cell_angle_gamma 120.00
loop_
_atom_site_label
_atom_site_type_symbol
_atom_site_fract_x
_atom_site_fract_y
_atom_site_fract_z
Sb1 Sb 0.0000 0.0000 0.0000
Te1 Te 0.0000 0.0000 0.2491
Se1 Se 0.0000 0.0000 0.5000